Below is crystalline NaPm5Hg4 at its relaxed geometry, with properties calculated at the PBE-GGA level.

Cell: 3.8504 3.8504 19.5869 Å, 90.00 90.00 90.00°
With the nearest neighbours (Å) after each atom.
Space group P4/mmm (No. 123)
One atom of each set of equivalent atoms:
Na (0.0000, 0.0000, 0.0000) (multiplicity 1)  8 Pm 3.64, 4 Na 3.85
Pm (0.5000, 0.5000, 0.1232) (multiplicity 2)  4 Hg 3.21
Pm (0.5000, 0.5000, 0.3100) (multiplicity 2)  8 Hg 3.28-3.36, 1 Pm 3.66
Pm (0.5000, 0.5000, 0.5000) (multiplicity 1)  8 Hg 3.31
Hg (0.0000, 0.0000, 0.2097) (multiplicity 2)  8 Pm 3.21-3.36
Hg (0.0000, 0.0000, 0.4037) (multiplicity 2)  8 Pm 3.28-3.31

Results
energy of formation from the pure elements: -0.324 eV per atom
total DFT energy (no corrections): -29.5 eV per formula unit